## Si2RuAu (meta-GGA SCAN)

Data for Si2RuAu at its PBEsol-relaxed geometry.

Results
Raw formation energy = 0.20 eV/atom
Distance to the lowest polymorph of the same formula = 479 meV per atom
Space-group type = No. 225
Energy = -30.80 eV/atom

abc: 4.3059 4.3059 4.3059
angles: 60.00 60.00 60.00
Element x y z (fractional)
Si (0.2500, 0.2500, 0.2500)
Si (0.7500, 0.7500, 0.7500)
Ru (0.0000, 0.0000, 0.0000)
Au (0.5000, 0.5000, 0.5000)